(1)
The following is a DFT calculation (PBE-GGA) of an optimized crystal structure of Zr2Ti5NbCo2. Values from VASP.

Cell and atoms, written as Quantum ESPRESSO input:
```
&SYSTEM
  ibrav = 0, nat = 20, ntyp = 4
/
ATOMIC_SPECIES
Zr 91.22 Zr.upf
Ti 47.87 Ti.upf
Nb 92.91 Nb.upf
Co 58.93 Co.upf
CELL_PARAMETERS angstrom
10.529 0.000 0.000
0.000 10.529 0.000
0.000 0.000 3.099
ATOMIC_POSITIONS crystal
Zr 0.177 0.323 0.000
Zr 0.323 0.823 0.000
Zr 0.677 0.177 0.000
Zr 0.823 0.677 0.000
Ti 0.000 0.500 0.500
Ti 0.062 0.790 0.500
Ti 0.210 0.062 0.500
Ti 0.290 0.562 0.500
Ti 0.438 0.290 0.500
Ti 0.500 0.000 0.500
Ti 0.562 0.710 0.500
Ti 0.710 0.438 0.500
Ti 0.790 0.938 0.500
Ti 0.938 0.210 0.500
Nb 0.000 0.000 0.000
Nb 0.500 0.500 0.000
Co 0.124 0.624 0.000
Co 0.376 0.124 0.000
Co 0.624 0.876 0.000
Co 0.876 0.376 0.000
```

Electronic total energy (eV/atom): -8.2409
Spin magnetization (μB/f.u.): 0.0
E_form (eV per atom): -0.156

---

(2)
The following is a DFT calculation (PBE-GGA) of an optimized crystal structure of Sr2BeV. Values from VASP.

Cell and atoms, written as Quantum ESPRESSO input:
```
&SYSTEM
  ibrav = 0, nat = 8, ntyp = 3
/
ATOMIC_SPECIES
Sr 87.62 Sr.upf
Be 9.01 Be.upf
V 50.94 V.upf
CELL_PARAMETERS angstrom
-4.313 4.313 3.163
4.313 -4.313 3.163
4.313 4.313 -3.163
ATOMIC_POSITIONS crystal
Sr 0.089 0.625 0.964
Sr 0.375 0.339 0.464
Sr 0.661 0.125 0.036
Sr 0.875 0.911 0.536
Be 0.000 0.000 0.000
Be 0.750 0.250 0.500
V 0.250 0.750 0.500
V 0.500 0.500 0.000
```

Electronic total energy (eV/atom): -3.0130
Spin magnetization (μB/f.u.): 3.8
E_form (eV per atom): 1.039